1.
# Li3Zr3NpTe8

Crystalline Li3Zr3NpTe8 at its relaxed geometry (PBE, the Alexandria database).

Output
- spin magnetization (μB per formula unit) = 4.225
- space group = R-3m (166)
- volume (Å³ per cell) = 414.7
- ΔE_f (raw) (kJ/mol of formula units) = -1244.6
- D(E_F) (states/eV/cell) = 15.40

Cell lengths 8.5744, 8.5744, 8.5744 Å; angles 56.98, 56.98, 56.98 degrees
Atoms (fractional coordinates):
Li 0.0000 0.5000 0.5000
Li 0.5000 0.0000 0.5000
Li 0.5000 0.5000 0.0000
Zr 0.0000 0.0000 0.5000
Zr 0.0000 0.5000 0.0000
Zr 0.5000 0.0000 0.0000
Np 0.5000 0.5000 0.5000
Te 0.2364 0.7591 0.7591
Te 0.2409 0.2409 0.7636
Te 0.2409 0.7636 0.2409
Te 0.2499 0.2499 0.2499
Te 0.7501 0.7501 0.7501
Te 0.7591 0.2364 0.7591
Te 0.7591 0.7591 0.2364
Te 0.7636 0.2409 0.2409

***

2.
# LiNpTl2

Crystalline LiNpTl2 at its relaxed geometry (PBE, the Alexandria database).

Output
- spin magnetization (μB per formula unit) = 4.770
- ΔE_f (eV/atom) = 0.07
- space group = P4/mmm (123)
- volume (Å³ per cell) = 92.5
- D(E_F) (states/eV/cell) = 6.38

Cell lengths 3.3273, 3.3273, 8.3572 Å; angles 90.00, 90.00, 90.00 degrees
Atoms (fractional coordinates):
Li 0.0000 0.0000 0.0000
Np 0.0000 0.0000 0.5000
Tl 0.5000 0.5000 0.2131
Tl 0.5000 0.5000 0.7869

***

3.
# LiNpTl2

Crystalline LiNpTl2 at its relaxed geometry (PBE, the Alexandria database).

Output
- spin magnetization (μB per formula unit) = 4.322
- ΔE_f (eV/atom) = 0.14
- space group = P4/mmm (123)
- volume (Å³ per cell) = 100.6
- D(E_F) (states/eV/cell) = 8.73

Cell lengths 5.7116, 5.7116, 3.0833 Å; angles 90.00, 90.00, 90.00 degrees
Atoms (fractional coordinates):
Li 0.0000 0.0000 0.0000
Np 0.5000 0.5000 0.0000
Tl 0.0000 0.5000 0.5000
Tl 0.5000 0.0000 0.5000

***

4.
# LiNpZn2

Crystalline LiNpZn2 at its relaxed geometry (PBE, the Alexandria database).

Output
- spin magnetization (μB per formula unit) = 1.394
- ΔE_f (eV/atom) = 0.02
- space group = P4/mmm (123)
- volume (Å³ per cell) = 62.3
- D(E_F) (states/eV/cell) = 4.20

Cell lengths 2.6323, 2.6323, 8.9976 Å; angles 90.00, 90.00, 90.00 degrees
Atoms (fractional coordinates):
Li 0.0000 0.0000 0.0000
Np 0.0000 0.0000 0.5000
Zn 0.5000 0.5000 0.2244
Zn 0.5000 0.5000 0.7756